Entry 1:
Compound: DyGa2F8
Source: the Alexandria database
Functional: PBE
Structure: optimized geometry

V	14.4	Å³/atom
formation energy from raw total energies	-2869	meV/atom
symmetry	P-3 (147)
uncorrected energy	-5.199	eV/atom
total magnetization	0.0	μB/f.u.
distance to the lowest polymorph of the same formula	69	meV per atom

Unit cell a=6.7106 b=6.7106 c=4.0560 alpha=90.00 beta=90.00 gamma=120.00
Closest atoms and distances in Å follow each position.
Positions (direct):
Dy 0.0000 0.0000 0.0000  6 F 2.21
Ga 0.3333 0.6667 0.7380  5 F 1.93-2.05
Ga 0.6667 0.3333 0.2620  5 F 1.93-2.05
F 0.1660 0.3338 0.7401  1 Ga 1.93
F 0.1677 0.8340 0.7401  1 Ga 1.93
F 0.3333 0.6667 0.2425  2 Ga 2.01-2.05
F 0.3338 0.1677 0.2599  1 Ga 1.93
F 0.6662 0.8323 0.7401  1 Ga 1.93
F 0.6667 0.3333 0.7575  2 Ga 2.01-2.05
F 0.8323 0.1660 0.2599  1 Ga 1.93
F 0.8340 0.6662 0.2599  1 Ga 1.93

---

Entry 2:
Compound: DyGaF4
Source: the Alexandria database
Functional: PBE
Structure: optimized geometry

V	19.0	Å³/atom
formation energy from raw total energies	-2987	meV/atom
symmetry	I-4 (82)
uncorrected energy	-5.506	eV/atom
total magnetization	0.0	μB/f.u.

Unit cell a=6.6215 b=6.6215 c=5.1929 alpha=90.00 beta=90.00 gamma=90.00
Closest atoms and distances in Å follow each position.
Positions (direct):
Dy 0.0000 0.0000 0.0000  4 F 2.10
Dy 0.5000 0.5000 0.5000  4 F 2.10
Ga 0.0000 0.5000 0.2500  4 F 2.45
Ga 0.5000 0.0000 0.7500  4 F 2.45
F 0.1794 0.1844 0.7650  1 Dy 2.10
F 0.1844 0.8206 0.2350  1 Dy 2.10
F 0.3156 0.6794 0.7350  1 Dy 2.10
F 0.3206 0.3156 0.2650  1 Dy 2.10
F 0.6794 0.6844 0.2650  1 Dy 2.10
F 0.6844 0.3206 0.7350  1 Dy 2.10
F 0.8156 0.1794 0.2350  1 Dy 2.10
F 0.8206 0.8156 0.7650  1 Dy 2.10

---

Entry 3:
Compound: DyGaF
Source: the Alexandria database
Functional: PBE
Structure: optimized geometry

V	19.8	Å³/atom
formation energy from raw total energies	-1496	meV/atom
symmetry	I4mm (107)
uncorrected energy	-4.663	eV/atom
total magnetization	0.0	μB/f.u.
distance to the lowest polymorph of the same formula	274	meV per atom

Unit cell a=3.2466 b=3.2466 c=11.2458 alpha=90.00 beta=90.00 gamma=90.00
Closest atoms and distances in Å follow each position.
Positions (direct):
Dy 0.0000 0.0000 0.0000  4 F 2.38
Dy 0.5000 0.5000 0.5000  4 F 2.38
Ga 0.0000 0.0000 0.2872  1 F 3.01, 5 Dy 3.23-3.32, 4 Ga 3.25
Ga 0.5000 0.5000 0.7872  1 F 3.01, 5 Dy 3.23-3.32, 4 Ga 3.25
F 0.0000 0.0000 0.5550  4 Dy 2.38
F 0.5000 0.5000 0.0550  4 Dy 2.38

---

Entry 4:
Compound: DyGa2F8
Source: the Alexandria database
Functional: PBE
Structure: optimized geometry

V	15.0	Å³/atom
formation energy from raw total energies	-2938	meV/atom
symmetry	C2/m (12)
uncorrected energy	-5.268	eV/atom
total magnetization	1.0	μB/f.u.
distance to the lowest polymorph of the same formula	0	meV per atom

Unit cell a=5.6735 b=5.6735 c=5.2708 alpha=96.00 beta=96.00 gamma=79.27
Closest atoms and distances in Å follow each position.
Positions (direct):
Dy 0.0000 0.0000 0.0000  6 F 2.19-2.20
Ga 0.4199 0.4199 0.7404  5 F 1.92-2.02
Ga 0.5801 0.5801 0.2596  5 F 1.92-2.02
F 0.1522 0.6873 0.7488  1 Ga 1.94
F 0.2125 0.2125 0.8207  1 Ga 1.92
F 0.3127 0.8478 0.2512  1 Ga 1.94
F 0.3681 0.3681 0.3741  2 Ga 1.92-2.02
F 0.6319 0.6319 0.6259  2 Ga 1.92-2.02
F 0.6873 0.1522 0.7488  1 Ga 1.94
F 0.7875 0.7875 0.1793  1 Ga 1.92
F 0.8478 0.3127 0.2512  1 Ga 1.94

---

Entry 5:
Compound: DyGaF
Source: the Alexandria database
Functional: PBE
Structure: optimized geometry

V	17.0	Å³/atom
formation energy from raw total energies	-1770	meV/atom
symmetry	P4/nmm (129)
uncorrected energy	-4.937	eV/atom
total magnetization	0.0	μB/f.u.
distance to the lowest polymorph of the same formula	0	meV per atom

Unit cell a=3.3528 b=3.3528 c=9.0595 alpha=90.00 beta=90.00 gamma=90.00
Closest atoms and distances in Å follow each position.
Positions (direct):
Dy 0.2500 0.2500 0.1952  5 F 2.37-2.64
Dy 0.7500 0.7500 0.8048  5 F 2.37-2.64
Ga 0.2500 0.2500 0.5840  4 Ga 2.82, 4 Dy 3.10
Ga 0.7500 0.7500 0.4160  4 Ga 2.82, 4 Dy 3.10
F 0.2500 0.2500 0.9340  5 Dy 2.37-2.64
F 0.7500 0.7500 0.0660  5 Dy 2.37-2.64

---

Entry 6:
Compound: GdDy2F
Source: the Alexandria database
Functional: PBE
Structure: optimized geometry

V	25.0	Å³/atom
formation energy from raw total energies	-1133	meV/atom
symmetry	R-3m (166)
uncorrected energy	-7.422	eV/atom
total magnetization	7.4	μB/f.u.

Unit cell a=3.6882 b=3.6882 c=25.4621 alpha=90.00 beta=90.00 gamma=120.00
Closest atoms and distances in Å follow each position.
Positions (direct):
Gd 0.0000 0.0000 0.0000  6 Dy 3.54, 6 Gd 3.69
Gd 0.3333 0.6667 0.6667  6 Dy 3.54, 6 Gd 3.69
Gd 0.6667 0.3333 0.3333  6 Dy 3.54, 6 Gd 3.69
Dy 0.0000 0.0000 0.2224  3 F 2.56
Dy 0.0000 0.0000 0.7776  3 F 2.56
Dy 0.3333 0.6667 0.4442  3 F 2.56
Dy 0.3333 0.6667 0.8891  3 F 2.56
Dy 0.6667 0.3333 0.1109  3 F 2.56
Dy 0.6667 0.3333 0.5558  3 F 2.56
F 0.0000 0.0000 0.5000  6 Dy 2.56
F 0.3333 0.6667 0.1667  6 Dy 2.56
F 0.6667 0.3333 0.8333  6 Dy 2.56

---

Entry 7:
Compound: Dy2GeF
Source: the Alexandria database
Functional: PBE
Structure: optimized geometry

V	29.4	Å³/atom
formation energy from raw total energies	-1655	meV/atom
symmetry	R-3m (166)
uncorrected energy	-5.578	eV/atom
total magnetization	0.0	μB/f.u.

Unit cell a=4.3555 b=4.3555 c=21.4549 alpha=90.00 beta=90.00 gamma=120.00
Closest atoms and distances in Å follow each position.
Positions (direct):
Dy 0.0000 0.0000 0.1024  1 F 2.20
Dy 0.0000 0.0000 0.8976  1 F 2.20
Dy 0.3333 0.6667 0.5643  1 F 2.20
Dy 0.3333 0.6667 0.7691  1 F 2.20
Dy 0.6667 0.3333 0.2309  1 F 2.20
Dy 0.6667 0.3333 0.4357  1 F 2.20
Ge 0.0000 0.0000 0.5000  6 Dy 2.87
Ge 0.3333 0.6667 0.1667  6 Dy 2.87
Ge 0.6667 0.3333 0.8333  6 Dy 2.87
F 0.0000 0.0000 0.0000  2 Dy 2.20
F 0.3333 0.6667 0.6667  2 Dy 2.20
F 0.6667 0.3333 0.3333  2 Dy 2.20

---

Entry 8:
Compound: Dy2HF6
Source: the Alexandria database
Functional: PBE
Structure: optimized geometry

V	11.3	Å³/atom
symmetry	C2/m (12)
uncorrected energy	-5.980	eV/atom
total magnetization	1.0	μB/f.u.

Unit cell a=4.3713 b=4.3713 c=7.0467 alpha=92.18 beta=92.18 gamma=49.40
Closest atoms and distances in Å follow each position.
Positions (direct):
Dy 0.2440 0.2440 0.2548  9 F 2.31-2.43, 1 H 2.59
Dy 0.7560 0.7560 0.7452  9 F 2.31-2.43, 1 H 2.59
H 0.0000 0.0000 0.0000  2 F 2.01
F 0.0536 0.0536 0.7233  1 H 2.01
F 0.3358 0.3358 0.9327  2 H 2.28, 3 Dy 2.33-2.41, 2 F 2.49
F 0.3417 0.3417 0.5687  3 Dy 2.31-2.33, 4 F 2.51-2.58
F 0.6583 0.6583 0.4313  3 Dy 2.31-2.33, 4 F 2.51-2.58
F 0.6642 0.6642 0.0673  2 H 2.28, 3 Dy 2.33-2.41, 2 F 2.49
F 0.9464 0.9464 0.2767  1 H 2.01

---

Entry 9:
Compound: Dy2HF8
Source: the Alexandria database
Functional: PBE
Structure: optimized geometry

V	13.9	Å³/atom
symmetry	C2/m (12)
uncorrected energy	-5.500	eV/atom
total magnetization	0.8	μB/f.u.

Unit cell a=6.1766 b=6.1766 c=4.3474 alpha=90.12 beta=90.12 gamma=67.26
Closest atoms and distances in Å follow each position.
Positions (direct):
Dy 0.1924 0.1924 0.0011  8 F 2.22-2.31
Dy 0.8076 0.8076 0.9989  8 F 2.22-2.31
H 0.5000 0.5000 0.0000  4 F 1.76
F 0.0001 0.0001 0.2591  2 F 2.09-2.25, 2 Dy 2.28
F 0.9999 0.9999 0.7409  2 F 2.09-2.25, 2 Dy 2.28
F 0.1985 0.5545 0.0012  1 H 1.76
F 0.2379 0.2379 0.5013  2 Dy 2.22
F 0.4455 0.8015 0.9988  1 H 1.76
F 0.5545 0.1985 0.0012  1 H 1.76
F 0.7621 0.7621 0.4987  2 Dy 2.22
F 0.8015 0.4455 0.9988  1 H 1.76

---

Entry 10:
Compound: K2DyHF6
Source: the Alexandria database
Functional: PBE
Structure: optimized geometry

V	15.9	Å³/atom
symmetry	C2/m (12)
uncorrected energy	-5.160	eV/atom
total magnetization	0.1	μB/f.u.

Unit cell a=5.9168 b=5.9168 c=5.9078 alpha=109.20 beta=109.20 gamma=109.99
Closest atoms and distances in Å follow each position.
Positions (direct):
K 0.2503 0.7497 0.0000  8 F 2.97
K 0.7497 0.2503 0.0000  8 F 2.97
Dy 0.0000 0.0000 0.5000  6 F 2.15-2.24
H 0.5000 0.5000 0.5000  2 F 1.16
F 0.2216 0.2216 0.9438  1 Dy 2.15
F 0.2217 0.7783 0.5000  1 Dy 2.15
F 0.3298 0.3298 0.5006  1 H 1.16
F 0.6702 0.6702 0.4994  1 H 1.16
F 0.7783 0.2217 0.5000  1 Dy 2.15
F 0.7784 0.7784 0.0562  1 Dy 2.15

---

Entry 11:
Compound: DyHfF7
Source: the Alexandria database
Functional: PBE
Structure: optimized geometry

V	15.8	Å³/atom
formation energy from raw total energies	-3999	meV/atom
symmetry	P2_1 (4)
uncorrected energy	-7.072	eV/atom
total magnetization	0.1	μB/f.u.

Unit cell a=6.0589 b=5.8097 c=8.2753 alpha=90.00 beta=103.21 gamma=90.00
Closest atoms and distances in Å follow each position.
Positions (direct):
Dy 0.1527 0.0000 0.1891  8 F 2.18-2.42
Dy 0.8473 0.5000 0.8109  8 F 2.18-2.42
Hf 0.3171 0.0042 0.7259  6 F 2.00-2.02
Hf 0.6829 0.5042 0.2741  6 F 2.00-2.02
F 0.0229 0.7263 0.0092  2 Dy 2.18-2.20
F 0.0815 0.7563 0.7070  1 Hf 2.01
F 0.0908 0.2623 0.7067  1 Hf 2.01
F 0.2706 0.0018 0.4780  1 Hf 2.01
F 0.3630 0.0076 0.9727  1 Hf 2.00
F 0.4308 0.2710 0.2548  1 Hf 2.02
F 0.4390 0.7438 0.2614  1 Hf 2.02
F 0.5610 0.2438 0.7386  1 Hf 2.02
F 0.5692 0.7710 0.7452  1 Hf 2.02
F 0.6370 0.5076 0.0273  1 Hf 2.00
F 0.7294 0.5018 0.5220  1 Hf 2.01
F 0.9092 0.7623 0.2933  1 Hf 2.01
F 0.9185 0.2563 0.2930  1 Hf 2.01
F 0.9771 0.2263 0.9908  2 Dy 2.18-2.20

---

Entry 12:
Compound: DyHfF
Source: the Alexandria database
Functional: PBE
Structure: optimized geometry

V	21.2	Å³/atom
formation energy from raw total energies	-1541	meV/atom
symmetry	R-3m (166)
uncorrected energy	-7.016	eV/atom
total magnetization	0.0	μB/f.u.

Unit cell a=13.1027 b=13.1027 c=13.1027 alpha=14.76 beta=14.76 gamma=14.76
Closest atoms and distances in Å follow each position.
Positions (direct):
Dy 0.1012 0.1012 0.1012  3 F 2.36
Dy 0.8988 0.8988 0.8988  3 F 2.36
Hf 0.3016 0.3016 0.3016  9 Hf 3.14-3.37, 3 Dy 3.33
Hf 0.6984 0.6984 0.6984  9 Hf 3.14-3.37, 3 Dy 3.33
F 0.1978 0.1978 0.1978  3 Dy 2.36
F 0.8022 0.8022 0.8022  3 Dy 2.36